1.
Material: ScPaPd
Method: DFT, GGA-PBE
State: relaxed

Summary:
Total magnetic moment ... 0.000 μB per formula unit
Energy of formation from the pure elements ... -0.326 eV/atom
Polymorph energy (0 for the lowest one) ... 0.00 eV per formula unit
E_tot ... -7.332 eV/atom

Structure (extended XYZ):
```
3
Lattice="3.219 0.000 0.000 0.000 3.219 0.000 -1.610 -1.610 6.213" Properties=species:S:1:pos:R:3 pbc="T T T"
Pa 0.000 0.000 0.121
Pd 1.610 1.610 2.206
Sc 0.000 0.000 3.886
```


2.
Material: ScPaSiPd
Method: DFT, GGA-PBE
State: relaxed

Summary:
Total magnetic moment ... 1.547 μB per formula unit
E_form (uncorrected) ... -41.1 kJ per mole of atoms
E_tot ... -7.036 eV/atom

Structure (extended XYZ):
```
4
Lattice="-0.240 -1.100 -4.723 -2.815 -3.660 -1.500 -4.055 0.925 -2.505" Properties=species:S:1:pos:R:3 pbc="T T T"
Pd -5.333 -2.876 -6.546
Sc -3.555 -1.918 -4.364
Si -1.778 -0.959 -2.182
Pa 0.000 0.000 0.000
```


3.
Material: PaPdSe2
Method: DFT, GGA-PBE
State: relaxed

Summary:
Total magnetic moment ... 0.988 μB per formula unit
E_form (uncorrected) ... -88.8 kJ per mole of atoms
Polymorph energy (0 for the lowest one) ... 0.00 eV per formula unit
E_tot ... -6.335 eV/atom

Structure (extended XYZ):
```
4
Lattice="-4.221 0.402 -0.094 -2.458 -3.455 -0.049 -2.386 -1.007 7.179" Properties=species:S:1:pos:R:3 pbc="T T T"
Pd -6.800 -3.045 5.347
Se -2.280 -1.014 2.391
Se -2.361 -1.008 6.078
Pa -4.541 -2.030 3.918
```


4.
Material: PaPdSe2
Method: DFT, GGA-PBE
State: relaxed

Summary:
Total magnetic moment ... 0.007 μB per formula unit
E_form (uncorrected) ... -88.5 kJ per mole of atoms
Polymorph energy (0 for the lowest one) ... 0.01 eV per formula unit
E_tot ... -6.332 eV/atom

Structure (extended XYZ):
```
8
Lattice="4.782 0.000 -0.001 0.000 4.994 0.000 0.000 0.000 6.948" Properties=species:S:1:pos:R:3 pbc="T T T"
Pa 3.352 1.239 2.511
Pa 0.961 3.736 5.936
Pd 3.352 0.833 6.243
Pd 0.962 3.330 2.204
Se 3.352 3.837 4.276
Se 3.353 3.745 0.925
Se 0.961 1.340 4.171
Se 0.961 1.249 0.574
```


5.
Material: PaPd2Se3
Method: DFT, GGA-PBE
State: relaxed

Summary:
Total magnetic moment ... 0.000 μB per formula unit
E_form (uncorrected) ... -77.5 kJ per mole of atoms
Polymorph energy (0 for the lowest one) ... 0.28 eV per formula unit
E_tot ... -5.859 eV/atom

Structure (extended XYZ):
```
12
Lattice="-1.208 2.477 -3.175 -4.137 -4.733 -2.118 -7.201 4.244 6.052" Properties=species:S:1:pos:R:3 pbc="T T T"
Pd -8.786 2.273 3.725
Pd -4.305 3.297 0.036
Pd -3.760 -0.285 -2.966
Pd -8.241 -1.309 0.723
Se -2.918 -0.491 -0.665
Se -7.563 0.838 -0.643
Se -6.505 3.565 3.865
Se -4.982 1.150 1.402
Se -6.041 -1.576 -3.106
Se -9.627 2.480 1.423
Pa -5.563 -1.367 -0.341
Pa -6.983 3.356 1.100
```


6.
Material: PaPdSe
Method: DFT, GGA-PBE
State: relaxed

Summary:
Total magnetic moment ... 0.488 μB per formula unit
E_form (uncorrected) ... -79.6 kJ per mole of atoms
Polymorph energy (0 for the lowest one) ... 0.00 eV per formula unit
E_tot ... -6.883 eV/atom

Structure (extended XYZ):
```
3
Lattice="-0.812 -2.349 2.688 3.002 1.042 1.818 -3.517 3.923 -0.128" Properties=species:S:1:pos:R:3 pbc="T T T"
Se -0.003 0.005 0.003
Pd -1.605 2.166 1.408
Pa 0.281 0.446 2.967
```


DOS(E_F) values (in states/eV/f.u.) by entry order: 5.69 7.02 2.09 4.18 1.95 3.70.